Material: AlFe2Ir
Method: DFT, PBE
State: optimized geometry

Results
- energy of formation (eV per atom) = -0.35
- total moment (Bohr magnetons per cell) = 4.84
- VASP energy (eV/atom) = -7.7319
- calculated volume (Å³/atom) = 12.896

```
data_AlFe2Ir
_cell_length_a 2.9399
_cell_length_b 4.1102
_cell_length_c 4.2689
_cell_angle_alpha 90.00
_cell_angle_beta 90.00
_cell_angle_gamma 90.00
_space_group_name_H-M_alt 'P m m m'
_space_group_IT_number 47
_space_group_name_Hall '-P 2 2'
loop_
_atom_site_label
_atom_site_type_symbol
_atom_site_fract_x
_atom_site_fract_y
_atom_site_fract_z
Al1 Al 0.0000 0.0000 0.0000
Fe1 Fe 0.0000 0.5000 0.5000
Fe2 Fe 0.5000 0.0000 0.5000
Ir1 Ir 0.5000 0.5000 0.0000
```